Below is a PBEsol-optimized structure of MgTlSCl2, with properties calculated at the meta-GGA SCAN level.

abc: 4.5223 4.5223 12.2934
angles: 90.00 90.00 90.00
Each line ends with the local moment (μB).
Fractional coordinates of all 5 atoms:
Mg 0.0000 0.0000 0.0000  0.00
Tl 0.0000 0.0000 0.5000  0.00
S 0.5000 0.5000 0.5000  0.05
Cl 0.0000 0.5000 0.0000  0.00
Cl 0.5000 0.0000 0.0000  0.00

Values from the calculation:
ΔE_f (raw)   -3.7 eV/f.u.
E   -21.33 eV/atom
Distance to the lowest polymorph of the same formula   1.82 eV per formula unit
Crystal system   tetragonal
Total magnetic moment   0.09 μB per cell

Below is a PBEsol-optimized structure of Cd2CuRh, with properties calculated at the meta-GGA SCAN level.

abc: 4.1393 4.6914 4.1393
angles: 63.82 90.00 116.18
Fractional coordinates of all 4 atoms:
Rh 0.5000 0.0000 0.5000
Cu 0.0000 0.0000 0.0000
Cd 0.2500 0.5000 0.2500
Cd 0.7500 0.5000 0.7500

Values from the calculation:
E   -27.50 eV/atom
Energy of formation   -0.047 eV per atom
Crystal system   tetragonal
Total magnetic moment   0.00 μB per cell

Below is a PBEsol-optimized structure of SrMg2Ag, with properties calculated at the meta-GGA SCAN level.

abc: 3.5059 5.4658 6.3227
angles: 115.61 106.10 90.00
Fractional coordinates of all 4 atoms:
Ag 0.0000 0.5000 0.0000
Mg 0.7081 0.7081 0.4161
Mg 0.2919 0.2919 0.5839
Sr 0.5000 0.0000 0.0000

Values from the calculation:
E   -16.00 eV/atom
Energy of formation   -0.100 eV per atom
Crystal system   orthorhombic
Total magnetic moment   0.07 μB per cell

Question: The highest total magnetic moment belongs to which entry?
Answer: MgTlSCl2

Question: The highest E belongs to which entry?
Answer: SrMg2Ag